This record from the Alexandria database describes a relaxed U3Tl2NiO12 crystal. The functional is PBE with a Hubbard U.

Cell: 7.365 7.365 7.365 Å, 64.48 64.48 64.48°
Positions (direct):
Tl  0.644  0.644  0.644
O  0.328  0.951  0.328
O  0.049  0.672  0.672
Ni  0.000  0.000  0.000
O  0.712  0.054  0.054
O  0.328  0.328  0.951
O  0.672  0.672  0.049
U  0.000  0.000  0.500
Tl  0.356  0.356  0.356
O  0.054  0.054  0.712
U  0.000  0.500  0.000
O  0.946  0.288  0.946
U  0.500  0.000  0.000
O  0.288  0.946  0.946
O  0.946  0.946  0.288
O  0.951  0.328  0.328
O  0.672  0.049  0.672
O  0.054  0.712  0.054

Properties
For the raw total energy, the calculation gives -140.6 eV for the cell shown. The crystal system is trigonal. The value obtained for the spin magnetization is 0.00 Bohr magnetons per cell.